The following is a GGA-PBE calculation of a relaxed AlSiTc crystal, from OQMD.

Cell lengths 4.1039, 4.1039, 4.1039 Å; angles 60.00, 60.00, 60.00 degrees
Fractional coordinates of all 3 atoms:
Tc: 0.2500 0.2500 0.2500
Si: 0.0000 0.0000 0.0000
Al: 0.5000 0.5000 0.5000

Results
relative energy among the computed polymorphs: 592 meV per atom
density: 5.201 Mg/m³

The following is a GGA-PBE calculation of a relaxed NdIn3S6 crystal, from OQMD.

Cell lengths 10.9942, 3.9220, 11.3248 Å; angles 90.00, 112.18, 90.00 degrees
Fractional coordinates of all 20 atoms:
In: 0.8332 0.2500 0.9429
S: 0.7398 0.2500 0.2978
Nd: 0.7052 0.2500 0.5546
S: 0.0854 0.2500 0.4267
In: 0.5179 0.7500 0.7981
In: 0.4821 0.2500 0.2019
S: 0.9146 0.7500 0.5733
In: 0.0981 0.2500 0.6697
S: 0.7401 0.7500 0.7613
S: 0.5360 0.7500 0.3949
S: 0.9397 0.7500 0.1046
S: 0.6037 0.2500 0.9534
S: 0.4640 0.2500 0.6051
In: 0.1668 0.7500 0.0571
In: 0.9019 0.7500 0.3303
S: 0.0603 0.2500 0.8954
S: 0.2602 0.7500 0.7022
S: 0.3963 0.7500 0.0466
S: 0.2599 0.2500 0.2387
Nd: 0.2948 0.7500 0.4454

Results
density: 5.002 Mg/m³
total energy: -93.51 eV/cell

The following is a GGA-PBE calculation of a relaxed Li4ZnNiSn2 crystal, from OQMD.

Cell lengths 4.4205, 4.4205, 6.3542 Å; angles 90.00, 90.00, 90.00 degrees
Fractional coordinates of all 8 atoms:
Li: 0.5000 0.0000 0.2429
Ni: 0.0000 0.0000 0.0000
Li: 0.0000 0.0000 0.5000
Zn: 0.5000 0.5000 0.5000
Sn: 0.0000 0.5000 0.2308
Li: 0.5000 0.5000 0.0000
Li: 0.0000 0.5000 0.7571
Sn: 0.5000 0.0000 0.7692

Results
density: 5.206 Mg/m³
total energy: -25.30 eV/cell